1.
A plane-wave DFT calculation with PBE was carried out for crystalline Pm2Co2Au at its relaxed geometry.

Computed properties:
For the formation energy, the calculation gives -0.36 eV per atom. The calculated total energy is -0.423 Ry per atom. The total magnetic moment is 2.852 μB/cell.

a = 3.8641 Å, b = 13.6503 Å, c = 3.9308 Å
α = 90.00°, β = 90.00°, γ = 90.00°
With the nearest neighbours (Å) after each atom.
Space group Cmmm (No. 65)
Asymmetric unit:
Pm 0.0000 0.1306 0.0000 (multiplicity 4)  6 Co 2.95, 4 Au 3.28
Co 0.0000 0.2919 0.5000 (multiplicity 4)  2 Co 2.25
Au 0.0000 0.5000 0.5000 (multiplicity 2)  2 Co 2.84

2.
A plane-wave DFT calculation with PBE was carried out for crystalline AlTc2I at its relaxed geometry.

Computed properties:
As for the formation energy from raw total energies: 0.499 eV per atom. As for the excess energy over the best structure of this formula in the dataset: 0.0000 eV per atom. The calculated total energy is -0.441 Ry per atom. The total magnetic moment is 0.000 μB/cell.

a = 6.3459 Å, b = 6.3459 Å, c = 6.3459 Å
α = 90.00°, β = 90.00°, γ = 90.00°
With the nearest neighbours (Å) after each atom.
Space group Fm-3m (No. 225)
Asymmetric unit:
Al 0.0000 0.0000 0.0000 (multiplicity 4)  8 Tc 2.75
Tc 0.2500 0.2500 0.2500 (multiplicity 8)  4 Al 2.75, 4 I 2.75
I 0.0000 0.0000 0.5000 (multiplicity 4)  8 Tc 2.75

3.
A plane-wave DFT calculation with PBE was carried out for crystalline AgBi2H2 at its relaxed geometry.

Computed properties:
As for the excess energy over the best structure of this formula in the dataset: 0.0000 eV per atom. The calculated total energy is -0.243 Ry per atom. The total magnetic moment is 0.000 μB/cell.

a = 5.1022 Å, b = 5.1022 Å, c = 7.1334 Å
α = 90.00°, β = 90.00°, γ = 90.00°
With the nearest neighbours (Å) after each atom.
Space group I4/mmm (No. 139)
Asymmetric unit:
Ag 0.0000 0.0000 0.0000 (multiplicity 2)  8 Bi 3.11, 2 H 3.19
Bi 0.0000 0.5000 0.2500 (multiplicity 4)  4 H 2.91, 4 Ag 3.11
H 0.0000 0.0000 0.4469 (multiplicity 4)  1 H 0.76